(1)
{"formula": "LiEr3Al2", "functional": "GGA-PBE", "state": "relaxed", "cell": [[-0.834, 3.359, 0.757], [-2.728, -0.169, -2.254], [-6.633, -3.516, 8.294]], "species": ["Er", "Er", "Er", "Li", "Al", "Al"], "frac_coords": [[0.000, 0.000, 0.000], [0.000, 0.000, 0.321], [0.000, 0.000, 0.679], [0.500, 0.500, 0.500], [0.500, 0.500, 0.835], [0.500, 0.500, 0.165]], "e_above_lowest_polymorph_mev_per_atom": 28, "delta_e_f_ev_per_fu": -1.52, "energy_ev_per_atom": -4.101}

(2)
{"formula": "LiErAl3", "functional": "GGA-PBE", "state": "relaxed", "cell": [[-1.178, 4.343, 0.031], [-2.808, -0.773, 1.555], [7.530, 1.963, 11.069]], "species": ["Li", "Li", "Al", "Al", "Al", "Al", "Al", "Al", "Er", "Er"], "frac_coords": [[0.250, 0.784, 0.568], [0.750, 0.216, 0.432], [0.250, 0.475, 0.950], [0.750, 0.525, 0.050], [0.750, 0.322, 0.644], [0.250, 0.678, 0.356], [0.750, 0.626, 0.251], [0.250, 0.374, 0.749], [0.250, 0.074, 0.149], [0.750, 0.926, 0.851]], "delta_e_f_ev_per_fu": -1.37, "energy_ev_per_atom": -3.814}

(3)
{"formula": "LiEr5Al3", "functional": "GGA-PBE", "state": "relaxed", "cell": [[6.459, 0.000, 0.000], [0.000, 7.733, -4.465], [0.000, 0.000, 8.929]], "species": ["Er", "Er", "Er", "Er", "Er", "Er", "Er", "Er", "Er", "Er", "Al", "Al", "Al", "Al", "Al", "Al", "Li", "Li"], "frac_coords": [[0.750, 0.306, 0.000], [0.750, 0.000, 0.306], [0.250, 0.000, 0.694], [0.250, 0.694, 0.000], [0.250, 0.306, 0.306], [0.000, 0.333, 0.667], [0.500, 0.333, 0.667], [0.500, 0.667, 0.333], [0.750, 0.694, 0.694], [0.000, 0.667, 0.333], [0.250, 0.000, 0.356], [0.750, 0.000, 0.644], [0.750, 0.644, 0.000], [0.750, 0.355, 0.356], [0.250, 0.645, 0.644], [0.250, 0.356, 0.000], [0.500, 0.000, 0.000], [0.000, 0.000, 0.000]], "delta_e_f_ev_per_fu": -2.27, "energy_ev_per_atom": -4.247}

(4)
{"formula": "Li2Er3Al9", "functional": "GGA-PBE", "state": "relaxed", "cell": [[-1.395, -2.730, -3.063], [5.445, -6.174, -0.043], [-3.493, -6.237, 4.083]], "species": ["Al", "Al", "Al", "Al", "Al", "Al", "Al", "Al", "Al", "Er", "Er", "Er", "Li", "Li"], "frac_coords": [[0.348, 0.019, 0.285], [0.000, 0.500, 0.500], [0.652, 0.981, 0.715], [0.137, 0.582, 0.144], [0.137, 0.144, 0.582], [0.863, 0.856, 0.418], [0.348, 0.285, 0.019], [0.652, 0.715, 0.981], [0.863, 0.418, 0.856], [0.000, 0.000, 0.000], [0.302, 0.698, 0.698], [0.698, 0.302, 0.302], [0.500, 0.688, 0.312], [0.500, 0.312, 0.688]], "delta_e_f_ev_per_fu": -4.82, "energy_ev_per_atom": -4.001}

(5)
{"formula": "LiEr3Al2", "functional": "GGA-PBE", "state": "relaxed", "cell": [[-4.454, 2.212, 1.018], [0.320, -5.059, -0.258], [2.559, -0.461, 12.202]], "species": ["Er", "Er", "Er", "Er", "Er", "Er", "Al", "Al", "Al", "Al", "Li", "Li"], "frac_coords": [[0.667, 0.333, 0.584], [0.333, 0.667, 0.918], [0.667, 0.333, 0.082], [0.000, 0.000, 0.247], [0.333, 0.667, 0.416], [0.000, 0.000, 0.753], [0.000, 0.000, 0.000], [0.667, 0.333, 0.828], [0.000, 0.000, 0.500], [0.333, 0.667, 0.172], [0.667, 0.333, 0.330], [0.333, 0.667, 0.670]], "e_above_lowest_polymorph_mev_per_atom": 0, "delta_e_f_ev_per_fu": -1.69, "energy_ev_per_atom": -4.129}

(6)
{"formula": "LiErAl2", "functional": "GGA-PBE", "state": "relaxed", "cell": [[-1.005, 2.910, 0.529], [-0.805, 0.873, 2.889], [8.672, 4.152, 2.852]], "species": ["Al", "Al", "Li", "Er"], "frac_coords": [[0.255, 0.255, 0.236], [0.745, 0.745, 0.764], [0.000, 0.000, 0.000], [0.500, 0.500, 0.500]], "e_above_lowest_polymorph_mev_per_atom": 273, "delta_e_f_ev_per_fu": 0.05, "energy_ev_per_atom": -3.479}

(7)
{"formula": "Li3ErAl3", "functional": "GGA-PBE", "state": "relaxed", "cell": [[6.692, 0.000, 0.000], [0.000, 6.692, 0.000], [0.000, 0.000, 6.692]], "species": ["Li", "Li", "Li", "Li", "Li", "Li", "Er", "Er", "Al", "Al", "Al", "Al", "Al", "Al"], "frac_coords": [[0.250, 0.500, 0.000], [0.000, 0.250, 0.500], [0.750, 0.500, 0.000], [0.000, 0.750, 0.500], [0.500, 0.000, 0.750], [0.500, 0.000, 0.250], [0.000, 0.000, 0.000], [0.500, 0.500, 0.500], [0.000, 0.500, 0.750], [0.750, 0.000, 0.500], [0.500, 0.750, 0.000], [0.500, 0.250, 0.000], [0.250, 0.000, 0.500], [0.000, 0.500, 0.250]], "delta_e_f_ev_per_fu": 3.42, "energy_ev_per_atom": -2.588}

(8)
{"formula": "LiErAl4", "functional": "GGA-PBE", "state": "relaxed", "cell": [[5.470, 0.000, 0.000], [2.735, 4.737, 0.000], [2.735, 1.579, 4.466]], "species": ["Al", "Al", "Al", "Al", "Li", "Er"], "frac_coords": [[0.126, 0.625, 0.625], [0.625, 0.625, 0.625], [0.625, 0.126, 0.625], [0.625, 0.625, 0.126], [0.000, 0.000, 0.000], [0.250, 0.250, 0.250]], "delta_e_f_ev_per_fu": -1.59, "energy_ev_per_atom": -3.839}